ScTl2CoSe: optimized geometry, PBE.

Summary:
DOS(E_F), states/eV per atom: 0.728
Uncorrected formation energy, eV per atom: 0.217

Cell lengths 5.1625, 4.4618, 5.1625 Å; angles 90.00, 90.00, 90.00 degrees
With the nearest neighbours (Å) after each atom.
Fractional positions:
Co 0.0000 0.0000 0.0000  2 Se 2.23
Tl 0.0000 0.0000 0.5000  2 Co 2.58
Tl 0.5000 0.0000 0.0000  2 Co 2.58
Se 0.0000 0.5000 0.0000  2 Co 2.23
Sc 0.5000 0.5000 0.5000  8 Tl 3.41, 4 Se 3.65

---

Cd2SiAgIr: optimized geometry, PBE.

Summary:
DOS(E_F), states/eV per atom: 0.345
Uncorrected formation energy, eV per atom: 0.553

Cell lengths 4.9750, 4.9750, 4.4763 Å; angles 90.00, 90.00, 90.00 degrees
With the nearest neighbours (Å) after each atom.
Fractional positions:
Cd 0.0000 0.5000 0.0000  2 Si 2.49
Cd 0.5000 0.0000 0.0000  2 Si 2.49
Si 0.0000 0.0000 0.0000  2 Ir 2.24, 4 Cd 2.49
Ir 0.0000 0.0000 0.5000  2 Si 2.24
Ag 0.5000 0.5000 0.5000  8 Cd 3.35, 4 Ir 3.52

---

PuCuPd: optimized geometry, PBE.

Summary:
DOS(E_F), states/eV per atom: 1.022
E above lowest polymorph, eV per atom: 0.4961
Energy of formation, eV per atom: 0.151

Cell lengths 3.2738, 3.2738, 9.3501 Å; angles 100.08, 100.08, 90.00 degrees
With the nearest neighbours (Å) after each atom.
Fractional positions:
Cu 0.0000 0.5000 0.0000  4 Cu 2.31
Cu 0.5000 0.0000 0.0000  4 Cu 2.31
Pd 0.8851 0.8851 0.7702  4 Cu 2.65
Pd 0.1149 0.1149 0.2298  4 Cu 2.65
Pu 0.2798 0.2798 0.5597  4 Pu 2.55
Pu 0.7202 0.7202 0.4403  4 Pu 2.55

---

GaHgO2F: optimized geometry, PBE.

Summary:
DOS(E_F), states/eV per atom: 0.295
Uncorrected formation energy, eV per atom: -1.144

Cell lengths 3.9343, 3.9343, 3.8941 Å; angles 90.00, 90.00, 90.00 degrees
With the nearest neighbours (Å) after each atom.
Fractional positions:
F 0.0000 0.0000 0.5000  2 Ga 1.95
Ga 0.0000 0.0000 0.0000  2 F 1.95, 4 O 1.97
Hg 0.5000 0.5000 0.5000  8 O 2.77, 4 F 2.78
O 0.5000 0.0000 0.0000  2 Ga 1.97
O 0.0000 0.5000 0.0000  2 Ga 1.97

---

ZrCrCd2: optimized geometry, PBE.

Summary:
DOS(E_F), states/eV per atom: 0.918
E above lowest polymorph, eV per atom: 0.1867
Energy of formation, eV per atom: 0.309

Cell lengths 10.1281, 10.1281, 10.1281 Å; angles 17.48, 17.48, 17.48 degrees
With the nearest neighbours (Å) after each atom.
Fractional positions:
Cr 0.2500 0.2500 0.2500  6 Cd 2.92, 6 Cr 3.08
Cd 0.9940 0.9940 0.9940  3 Cr 2.92, 6 Cd 3.08, 3 Zr 3.21
Cd 0.5060 0.5060 0.5060  3 Cr 2.92, 6 Cd 3.08, 3 Zr 3.21
Zr 0.7500 0.7500 0.7500  6 Zr 3.08, 6 Cd 3.21

---

Ho3ScTe6: optimized geometry, PBE.

Summary:
Uncorrected formation energy, eV per atom: -1.285

Cell lengths 8.8725, 8.8725, 8.8725 Å; angles 90.38, 90.38, 90.38 degrees
With the nearest neighbours (Å) after each atom.
Fractional positions:
Te 0.3081 0.9182 0.0908  1 Sc 2.94, 3 Ho 3.07-3.14
Te 0.0908 0.3081 0.9182  1 Sc 2.94, 3 Ho 3.07-3.14
Te 0.5419 0.4159 0.1865  1 Sc 2.90, 3 Ho 3.02-3.15
Te 0.5841 0.8135 0.4581  1 Sc 2.90, 3 Ho 3.02-3.15
Te 0.6919 0.0818 0.9092  1 Sc 2.94, 3 Ho 3.07-3.14
Te 0.4159 0.1865 0.5419  1 Sc 2.90, 3 Ho 3.02-3.15
Te 0.4581 0.5841 0.8135  1 Sc 2.90, 3 Ho 3.02-3.15
Te 0.0818 0.9092 0.6919  1 Sc 2.94, 3 Ho 3.07-3.14
Te 0.8135 0.4581 0.5841  1 Sc 2.90, 3 Ho 3.02-3.15
Te 0.9182 0.0908 0.3081  1 Sc 2.94, 3 Ho 3.07-3.14
Te 0.1865 0.5419 0.4159  1 Sc 2.90, 3 Ho 3.02-3.15
Te 0.9092 0.6919 0.0818  1 Sc 2.94, 3 Ho 3.07-3.14
Sc 0.5000 0.5000 0.5000  6 Te 2.90
Sc 0.0000 0.0000 0.0000  6 Te 2.94
Ho 0.2425 0.5754 0.0824  6 Te 3.02-3.15
Ho 0.5754 0.0824 0.2425  6 Te 3.02-3.15
Ho 0.9176 0.7575 0.4246  6 Te 3.02-3.15
Ho 0.4246 0.9176 0.7575  6 Te 3.02-3.15
Ho 0.7575 0.4246 0.9176  6 Te 3.02-3.15
Ho 0.0824 0.2425 0.5754  6 Te 3.02-3.15

---

HoPuPa2Sb4: optimized geometry, PBE.

Summary:
DOS(E_F), states/eV per atom: 2.329
Uncorrected formation energy, eV per atom: -0.658

Cell lengths 4.3896, 7.6157, 7.5744 Å; angles 109.51, 90.00, 90.00 degrees
With the nearest neighbours (Å) after each atom.
Fractional positions:
Sb 0.5000 0.2527 0.2512  3 Pa 3.09-3.11, 1 Ho 3.09, 2 Pu 3.11
Sb 0.0000 0.2524 0.7500  3 Pa 3.09-3.11, 2 Ho 3.09, 1 Pu 3.12
Sb 0.5000 0.7473 0.7488  3 Pa 3.09-3.11, 1 Ho 3.09, 2 Pu 3.11
Sb 0.0000 0.7476 0.2500  3 Pa 3.09-3.11, 2 Ho 3.09, 1 Pu 3.12
Pa 0.0000 0.5000 0.5000  6 Sb 3.09
Pa 0.5000 0.0000 0.5000  6 Sb 3.11
Ho 0.5000 0.5000 0.0000  6 Sb 3.09
Pu 0.0000 0.0000 0.0000  6 Sb 3.11-3.12

---

TbMgHgPt: optimized geometry, PBE.

Summary:
DOS(E_F), states/eV per atom: 0.995
Energy of formation, eV per atom: -0.700

Cell lengths 4.9211, 4.9211, 4.9211 Å; angles 60.00, 60.00, 60.00 degrees
With the nearest neighbours (Å) after each atom.
Fractional positions:
Tb 0.0000 0.0000 0.0000  4 Pt 3.01, 4 Hg 3.01
Hg 0.7500 0.7500 0.7500  4 Mg 3.01, 4 Tb 3.01
Pt 0.2500 0.2500 0.2500  4 Mg 3.01, 4 Tb 3.01
Mg 0.5000 0.5000 0.5000  4 Hg 3.01, 4 Pt 3.01

---

PmSiBRh6: optimized geometry, PBE.

Summary:
DOS(E_F), states/eV per atom: 1.119
Uncorrected formation energy, eV per atom: -0.238

Cell lengths 5.9705, 8.6760, 7.6369 Å; angles 124.61, 113.01, 90.00 degrees
With the nearest neighbours (Å) after each atom.
Fractional positions:
Rh 0.0794 0.8294 0.1588  2 Si 2.41, 4 Rh 2.59
Rh 0.4695 0.7195 0.9389  2 B 2.20
Rh 0.3850 0.6442 0.2539  1 B 2.02
Rh 0.1310 0.8903 0.7461  1 B 2.02
Rh 0.5305 0.2805 0.0611  2 B 2.20
Rh 0.8690 0.1097 0.2539  1 B 2.02
Rh 0.6150 0.8903 0.7461  1 B 2.02
Rh 0.1310 0.3558 0.7461  1 B 2.02
Rh 0.6150 0.3558 0.7461  1 B 2.02
Rh 0.8690 0.6442 0.2539  1 B 2.02
Rh 0.3850 0.1097 0.2539  1 B 2.02
Rh 0.9206 0.1706 0.8412  2 Si 2.41, 4 Rh 2.59
Pm 0.1901 0.4401 0.3803  6 Rh 2.87-3.09
Pm 0.8099 0.5599 0.6197  6 Rh 2.87-3.09
B 0.5000 0.0000 0.0000  6 Rh 2.02-2.20
B 0.5000 0.5000 0.0000  6 Rh 2.02-2.20
Si 0.0000 0.0000 0.5000  6 Rh 2.41-2.44
Si 0.5000 0.0000 0.5000  6 Rh 2.41-2.44

---

TlSiSe: optimized geometry, PBE.

Summary:
E above lowest polymorph, eV per atom: 0.0112
Uncorrected formation energy, eV per atom: -0.110

Cell lengths 4.0361, 7.4086, 7.6095 Å; angles 103.88, 104.39, 105.18 degrees
With the nearest neighbours (Å) after each atom.
Fractional positions:
Si 0.1574 0.7641 0.7998  2 Se 2.32-2.37, 2 Si 2.39-2.41
Si 0.6279 0.6283 0.8828  2 Si 2.39-2.41, 1 Se 2.45
Se 0.6239 0.9299 0.1013  2 Si 2.37-2.45
Se 0.1611 0.9673 0.6110  1 Si 2.32
Tl 0.3955 0.6773 0.3546  3 Se 3.05-3.13
Tl 0.9615 0.2651 0.9128  3 Se 3.20-3.32, 2 Si 3.34-3.37

---

Ho3TlZn: optimized geometry, PBE.

Summary:
DOS(E_F), states/eV per atom: 0.557
E above lowest polymorph, eV per atom: 0.1170
Energy of formation, eV per atom: -0.126

Cell lengths 4.9932, 8.0236, 8.0236 Å; angles 120.00, 90.00, 90.00 degrees
With the nearest neighbours (Å) after each atom.
Fractional positions:
Ho 0.7500 0.1899 0.3796  2 Zn 2.92, 2 Tl 3.19
Ho 0.2500 0.8101 0.1899  2 Zn 2.92, 2 Tl 3.20
Ho 0.2500 0.8101 0.6204  2 Zn 2.92, 2 Tl 3.19
Ho 0.7500 0.6204 0.8101  2 Zn 2.92, 2 Tl 3.19
Ho 0.2500 0.3796 0.1899  2 Zn 2.92, 2 Tl 3.19
Ho 0.7500 0.1899 0.8101  2 Zn 2.92, 2 Tl 3.20
Tl 0.7500 0.6665 0.3335  6 Ho 3.19-3.20
Tl 0.2500 0.3335 0.6665  6 Ho 3.19-3.20
Zn 0.0000 0.0000 0.0000  2 Zn 2.50
Zn 0.5000 0.0000 0.0000  2 Zn 2.50

---

KNiMo2: optimized geometry, PBE.

Summary:
DOS(E_F), states/eV per atom: 1.452
E above lowest polymorph, eV per atom: 0.9040
Energy of formation, eV per atom: 1.570

Cell lengths 4.7531, 4.7531, 9.4551 Å; angles 75.44, 75.44, 90.00 degrees
With the nearest neighbours (Å) after each atom.
Fractional positions:
K 0.5000 0.5000 0.0000  4 Ni 3.36, 8 Mo 3.39-3.53
K 0.2500 0.7500 0.5000  4 Ni 3.36, 8 Mo 3.39-3.53
Ni 0.7500 0.2500 0.5000  4 Mo 2.51
Ni 0.0000 0.0000 0.0000  4 Mo 2.51
Mo 0.8750 0.1036 0.7500  2 Mo 2.39, 2 Ni 2.51
Mo 0.8536 0.1250 0.2500  2 Mo 2.39, 2 Ni 2.51
Mo 0.8964 0.6250 0.2500  2 Mo 2.39, 2 Ni 2.51
Mo 0.3750 0.1464 0.7500  2 Mo 2.39, 2 Ni 2.51

---

Number 1: M_tot 0.000 μB/atom. Number 2: M_tot 0.000 μB/atom. Number 3: M_tot 0.000 μB/atom. Number 4: M_tot 0.000 μB/atom. Number 5: M_tot 0.845 μB/atom. Number 6: M_tot 0.000 μB/atom. Number 7: M_tot 0.927 μB/atom. Number 8: M_tot 0.000 μB/atom. Number 9: M_tot 0.000 μB/atom. Number 10: M_tot 0.000 μB/atom. Number 11: M_tot 0.000 μB/atom. Number 12: M_tot 0.000 μB/atom.